--- one ---
Below is crystalline BaNaSN2 at its relaxed geometry, with properties calculated at the PBE-GGA level.

abc: 5.2901 5.2901 5.9975
angles: 90.00 90.00 90.00
With the nearest neighbours (Å) after each atom.
Fractional coordinates of all 5 atoms:
N: 0.5000 0.0000 0.0000  2 Ba 2.65
N: 0.0000 0.5000 0.0000  2 Ba 2.65
Ba: 0.0000 0.0000 0.0000  4 N 2.65
S: 0.0000 0.0000 0.5000  2 Ba 3.00
Na: 0.5000 0.5000 0.5000  4 S 3.74, 8 N 4.00

* M_tot: 4.6 μB/cell
* SG: P4/mmm

--- two ---
Below is crystalline BaNaSN2 at its relaxed geometry, with properties calculated at the PBE-GGA level.

abc: 4.6531 4.6531 5.1965
angles: 90.00 90.00 90.00
With the nearest neighbours (Å) after each atom.
Fractional coordinates of all 5 atoms:
Na: 0.0000 0.0000 0.0000  4 N 2.33, 2 S 2.60
Ba: 0.5000 0.5000 0.5000  4 S 3.29, 8 N 3.49
N: 0.5000 0.0000 0.0000  2 Na 2.33
N: 0.0000 0.5000 0.0000  2 Na 2.33
S: 0.0000 0.0000 0.5000  2 Na 2.60

* M_tot: 5.0 μB/cell
* SG: P4/mmm

Stability summary - winner: two; margin: 0.268 eV/atom.

--- one ---
Below is crystalline BaNaSeN2 at its relaxed geometry, with properties calculated at the PBE-GGA level.

abc: 5.2819 5.2819 6.3409
angles: 90.00 90.00 90.00
With the nearest neighbours (Å) after each atom.
Fractional coordinates of all 5 atoms:
Ba: 0.0000 0.0000 0.0000  4 N 2.64
N: 0.0000 0.5000 0.0000  2 Ba 2.64
N: 0.5000 0.0000 0.0000  2 Ba 2.64
Na: 0.5000 0.5000 0.5000  4 Se 3.73, 8 N 4.13
Se: 0.0000 0.0000 0.5000  2 Ba 3.17

* M_tot: 4.7 μB/cell
* SG: P4/mmm

--- two ---
Below is crystalline BaNaSeN2 at its relaxed geometry, with properties calculated at the PBE-GGA level.

abc: 4.7407 4.7407 5.4082
angles: 90.00 90.00 90.00
With the nearest neighbours (Å) after each atom.
Fractional coordinates of all 5 atoms:
N: 0.5000 0.0000 0.0000  2 Na 2.37
N: 0.0000 0.5000 0.0000  2 Na 2.37
Se: 0.0000 0.0000 0.5000  2 Na 2.70
Na: 0.0000 0.0000 0.0000  4 N 2.37
Ba: 0.5000 0.5000 0.5000  4 Se 3.35, 8 N 3.60

* M_tot: 5.0 μB/cell
* SG: P4/mmm

Stability summary - winner: two; margin: 0.210 eV/atom.